[1]
First-principles (PBE-GGA) data for a relaxed structure of Sc3VH, as listed in Alexandria via LeMat-Bulk.

Results
E above lowest polymorph	0.000	eV/atom
symmetry	Pm-3m (221)
mass density	3.59	g cm⁻³

Geometry as POSCAR:
```
Sc3VH
1.0
4.422 0.000 0.000
0.000 4.422 0.000
0.000 0.000 4.422
V Sc H
1 3 1
direct
0.500 0.500 0.500
0.500 0.000 0.000
0.000 0.000 0.500
0.000 0.500 0.000
0.000 0.000 0.000
```

=====

[2]
First-principles (PBE-GGA) data for a relaxed structure of Sc5V3H12, as listed in Alexandria via LeMat-Bulk.

Results
uncorrected energy	-104.7	eV per formula unit
symmetry	Ia-3d (230)
mass density	3.58	g cm⁻³

Geometry as POSCAR:
```
Sc5V3H12
1.0
-4.044 -8.360 3.106
-0.302 0.335 -9.782
9.313 0.431 2.995
V Sc H
12 20 48
direct
0.375 0.625 0.250
0.250 0.125 0.375
0.125 0.875 0.750
0.875 0.750 0.125
0.875 0.125 0.250
0.125 0.250 0.875
0.750 0.875 0.625
0.375 0.750 0.625
0.250 0.625 0.875
0.625 0.375 0.750
0.625 0.250 0.375
0.750 0.375 0.125
0.000 0.000 0.500
0.125 0.375 0.250
0.875 0.250 0.625
0.000 0.500 0.500
0.875 0.625 0.750
0.375 0.125 0.750
0.500 0.500 0.000
0.625 0.875 0.250
0.500 0.500 0.500
0.500 0.000 0.000
0.250 0.875 0.125
0.000 0.500 0.000
0.000 0.000 0.000
0.125 0.750 0.375
0.375 0.250 0.125
0.250 0.375 0.625
0.750 0.625 0.375
0.625 0.750 0.875
0.750 0.125 0.875
0.500 0.000 0.500
0.267 0.836 0.922
0.914 0.068 0.836
0.568 0.733 0.655
0.267 0.432 0.845
0.568 0.836 0.414
0.422 0.655 0.086
0.155 0.068 0.733
0.586 0.664 0.432
0.836 0.568 0.914
0.233 0.655 0.068
0.664 0.078 0.233
0.914 0.845 0.578
0.932 0.845 0.767
0.422 0.767 0.836
0.414 0.078 0.345
0.345 0.578 0.414
0.414 0.336 0.568
0.578 0.345 0.914
0.932 0.086 0.664
0.586 0.922 0.655
0.922 0.336 0.267
0.345 0.767 0.432
0.233 0.578 0.664
0.767 0.345 0.932
0.836 0.267 0.422
0.432 0.164 0.586
0.068 0.155 0.233
0.767 0.422 0.336
0.068 0.914 0.336
0.155 0.086 0.922
0.578 0.233 0.164
0.164 0.432 0.086
0.336 0.414 0.068
0.922 0.586 0.155
0.164 0.733 0.578
0.078 0.664 0.733
0.432 0.267 0.345
0.086 0.932 0.164
0.655 0.233 0.568
0.733 0.568 0.155
0.845 0.932 0.267
0.078 0.414 0.845
0.655 0.422 0.586
0.733 0.164 0.078
0.664 0.586 0.932
0.845 0.914 0.078
0.086 0.155 0.422
0.336 0.922 0.767
```

=====

[3]
First-principles (PBE-GGA) data for a relaxed structure of Sc2VH, as listed in Alexandria via LeMat-Bulk.

Results
E above lowest polymorph	0.543	eV/atom
symmetry	Fm-3m (225)
mass density	3.41	g cm⁻³

Geometry as POSCAR:
```
Sc2VH
1.0
0.000 3.255 3.255
3.255 0.000 3.255
3.255 3.255 0.000
V Sc H
1 2 1
direct
0.500 0.500 0.500
0.750 0.750 0.750
0.250 0.250 0.250
0.000 0.000 0.000
```

=====

[4]
First-principles (PBE-GGA) data for a relaxed structure of Sc2VH6, as listed in Alexandria via LeMat-Bulk.

Results
uncorrected energy	-46.3	eV per formula unit
symmetry	Immm (71)
mass density	3.43	g cm⁻³

Geometry as POSCAR:
```
Sc2VH6
1.0
-3.212 0.522 -0.268
0.481 0.658 -4.479
0.664 -5.267 1.612
H V Sc
6 1 2
direct
0.156 0.392 0.313
0.844 0.079 0.687
0.500 0.213 0.000
0.844 0.608 0.687
0.500 0.787 0.000
0.156 0.921 0.313
0.000 0.000 0.000
0.339 0.339 0.678
0.661 0.661 0.322
```

=====

[5]
First-principles (PBE-GGA) data for a relaxed structure of Sc2VH8, as listed in Alexandria via LeMat-Bulk.

Results
uncorrected energy	-52.9	eV per formula unit
symmetry	Immm (71)
mass density	3.14	g cm⁻³

Geometry as POSCAR:
```
Sc2VH8
1.0
-2.286 -1.847 -1.225
2.749 -2.427 -1.470
-0.358 -1.211 6.633
H Sc V
8 2 1
direct
0.761 0.760 0.521
0.382 0.112 0.764
0.618 0.350 0.235
0.000 0.240 0.000
0.239 0.240 0.479
0.618 0.888 0.236
0.382 0.650 0.765
0.000 0.760 0.000
0.850 0.350 0.700
0.150 0.650 0.300
0.500 0.000 0.000
```

=====

[6]
First-principles (PBE-GGA) data for a relaxed structure of Sc3VH, as listed in Alexandria via LeMat-Bulk.

Results
E above lowest polymorph	0.994	eV/atom
symmetry	Pm-3m (221)
mass density	2.61	g cm⁻³

Geometry as POSCAR:
```
Sc3VH
1.0
-2.972 3.901 -0.333
-1.710 -0.917 4.516
3.522 2.846 1.912
V Sc H
1 3 1
direct
0.000 0.000 0.000
0.500 0.000 0.000
0.000 0.500 0.000
0.000 0.000 0.500
0.500 0.500 0.500
```

=====

[7]
First-principles (PBE-GGA) data for a relaxed structure of ScVH3, as listed in Alexandria via LeMat-Bulk.

Results
E above lowest polymorph	0.000	eV/atom
symmetry	P-1 (2)
mass density	3.64	g cm⁻³

Geometry as POSCAR:
```
ScVH3
1.0
-2.524 2.060 0.105
-0.432 -2.852 -4.688
-2.217 -2.957 4.245
H V Sc
6 2 2
direct
0.641 0.281 0.996
0.810 0.619 0.437
0.359 0.719 0.004
0.190 0.381 0.563
0.996 0.992 0.793
0.004 0.008 0.207
0.171 0.342 0.862
0.829 0.658 0.138
0.603 0.208 0.346
0.397 0.792 0.654
```

=====

[8]
First-principles (PBE-GGA) data for a relaxed structure of Zr2ScVH, as listed in Alexandria via LeMat-Bulk.

Results
uncorrected energy	-31.3	eV per formula unit
symmetry	P4/mmm (123)
mass density	4.98	g cm⁻³

Geometry as POSCAR:
```
Zr2ScVH
1.0
-3.400 4.087 -0.345
-0.915 -0.499 3.111
3.823 3.320 1.657
Zr Sc V H
2 1 1 1
direct
0.500 0.000 0.000
0.000 0.000 0.500
0.000 0.000 0.000
0.500 0.500 0.500
0.000 0.500 0.000
```

=====

[9]
First-principles (PBE-GGA) data for a relaxed structure of ScHW3, as listed in Alexandria via LeMat-Bulk.

Results
E above lowest polymorph	0.000	eV/atom
symmetry	Pm-3m (221)
mass density	13.93	g cm⁻³

Geometry as POSCAR:
```
ScHW3
1.0
4.145 0.000 0.000
0.000 4.145 0.000
0.000 0.000 4.145
W H Sc
3 1 1
direct
0.000 0.500 0.000
0.000 0.000 0.500
0.500 0.000 0.000
0.000 0.000 0.000
0.500 0.500 0.500
```

=====

[10]
First-principles (PBE-GGA) data for a relaxed structure of Sc3HW, as listed in Alexandria via LeMat-Bulk.

Results
E above lowest polymorph	1.052	eV/atom
symmetry	Pm-3m (221)
mass density	4.00	g cm⁻³

Geometry as POSCAR:
```
Sc3HW
1.0
-4.112 1.193 2.770
2.272 -1.856 4.172
1.985 4.598 0.965
Sc W H
3 1 1
direct
0.500 0.000 0.000
0.000 0.500 0.000
0.000 0.000 0.500
0.000 0.000 0.000
0.500 0.500 0.500
```

=====

[11]
First-principles (PBE-GGA) data for a relaxed structure of Sc3HW, as listed in Alexandria via LeMat-Bulk.

Results
E above lowest polymorph	0.000	eV/atom
symmetry	Pm-3m (221)
mass density	6.39	g cm⁻³

Geometry as POSCAR:
```
Sc3HW
1.0
-0.217 0.973 -4.249
4.143 -1.277 -0.504
-1.355 -4.059 -0.860
Sc W H
3 1 1
direct
0.000 0.500 0.000
0.000 0.000 0.500
0.500 0.000 0.000
0.500 0.500 0.500
0.000 0.000 0.000
```

=====

[12]
First-principles (PBE-GGA) data for a relaxed structure of ScHW3, as listed in Alexandria via LeMat-Bulk.

Results
E above lowest polymorph	2.816	eV/atom
symmetry	Pm-3m (221)
mass density	9.99	g cm⁻³

Geometry as POSCAR:
```
ScHW3
1.0
-3.331 -0.004 -3.218
3.056 -1.452 -3.162
-1.006 -4.398 1.047
H Sc W
1 1 3
direct
0.500 0.500 0.500
0.000 0.000 0.000
0.000 0.500 0.000
0.500 0.000 0.000
0.000 0.000 0.500
```

=====

The highest mass density belongs to which entry? number 9